This record from Alexandria describes crystalline CuTeF at its relaxed geometry. The functional is PBE.

Calculated values
As for the space-group type: Fddd, No. 70. The calculated volume comes out at 215 Å³ per cell. As for the offset from the most stable computed form: 0.000 eV per atom. Its uncorrected formation energy is -0.7434 eV per atom.

The structure in CIF format:
```
data_CuTeF
_cell_length_a 3.8766
_cell_length_b 5.7468
_cell_length_c 10.4163
_cell_angle_alpha 86.40
_cell_angle_beta 79.28
_cell_angle_gamma 70.29
_symmetry_space_group_name_H-M 'P 1'
_symmetry_Int_Tables_number 1
_symmetry_space_group_name_Hall 'P 1'
loop_
_atom_site_label
_atom_site_fract_x
_atom_site_fract_y
_atom_site_fract_z
Cu1 0.9290 0.5000 0.1420
Cu2 0.8210 0.0000 0.3580
Cu3 0.5710 0.5000 0.8580
Cu4 0.1790 0.0000 0.6420
Te1 0.5945 0.0000 0.8111
Te2 0.3445 0.5000 0.3111
Te3 0.4055 0.0000 0.1889
Te4 0.1555 0.5000 0.6889
F1 0.5920 0.8160 0.5000
F2 0.9080 0.1840 0.5000
F3 0.1580 0.6840 0.0000
F4 0.8420 0.3160 0.0000
```